1.
# Na2FeCl | Alexandria | PBE | relaxed
# Formation energy without anion corrections, meV per atom: 176
# E, eV/cell: -12.24
# Space group: Fm-3m
data_Na2FeCl
_chemical_formula_sum 'Na2 Fe1 Cl1'
_cell_length_a 5.188
_cell_length_b 5.188
_cell_length_c 5.188
_cell_angle_alpha 60.00
_cell_angle_beta 60.00
_cell_angle_gamma 60.00
_space_group_name_H-M_alt 'P 1'
_space_group_IT_number 1
loop_
_space_group_symop_operation_xyz
'x,y,z'
loop_
_atom_site_label
_atom_site_type_symbol
_atom_site_fract_x
_atom_site_fract_y
_atom_site_fract_z
Na1 Na 0.250 0.250 0.250
Na2 Na 0.750 0.750 0.750
Fe1 Fe 0.000 0.000 0.000
Cl1 Cl 0.500 0.500 0.500


2.
# AlTl2As | Alexandria | PBE | relaxed
# Energy relative to the lowest polymorph listed for this composition, meV/atom: 416.9
# E, eV/cell: -23.34
# Formation energy from the elements, eV/f.u.: 1.45
# Space group: I-42d
data_AlTl2As
_chemical_formula_sum 'Al2 Tl4 As2'
_cell_length_a 7.523
_cell_length_b 7.523
_cell_length_c 7.523
_cell_angle_alpha 127.35
_cell_angle_beta 127.35
_cell_angle_gamma 77.68
_space_group_name_H-M_alt 'P 1'
_space_group_IT_number 1
loop_
_space_group_symop_operation_xyz
'x,y,z'
loop_
_atom_site_label
_atom_site_type_symbol
_atom_site_fract_x
_atom_site_fract_y
_atom_site_fract_z
Al1 Al 0.000 0.000 0.000
Al2 Al 0.750 0.250 0.500
Tl1 Tl 0.129 0.625 0.004
Tl2 Tl 0.375 0.379 0.504
Tl3 Tl 0.621 0.125 0.996
Tl4 Tl 0.875 0.871 0.496
As1 As 0.250 0.750 0.500
As2 As 0.500 0.500 0.000